A relaxed Tm3Zn3CuIr2 crystal. Source: the Open Quantum Materials Database, functional PBE-GGA.

The structure belongs to space group P-62m (No. 189); the cell edges are 7.1165, 7.1165 and 3.7783 Å and the angles 90.00°, 90.00° and 120.00°. The asymmetric unit holds Tm at (0.0000, 0.4109, 0.0000), Zn at (0.0000, 0.7531, 0.5000), Cu at (0.0000, 0.0000, 0.0000) and Ir at (0.3333, 0.6667, 0.5000).

The energy relative to the elements is -622 meV per atom. Its total moment is 0.00 μB/cell.



A relaxed PmHoSb2 crystal. Source: the Open Quantum Materials Database, functional PBE-GGA.

The structure belongs to space group P4/mmm (No. 123); the cell edges are 4.427, 4.427 and 6.261 Å and the angles 90.00°, 90.00° and 90.00°. The asymmetric unit holds Pm at (0.000, 0.000, 0.000), Ho at (0.500, 0.500, 0.500), Sb at (0.000, 0.000, 0.500) and Sb at (0.500, 0.500, 0.000).

Its total moment is 0.00 μB/cell.



A relaxed YCuTcGe crystal. Source: the Open Quantum Materials Database, functional PBE-GGA.

The structure belongs to space group F-43m (No. 216); the cell edges are 6.553, 6.553 and 6.553 Å and the angles 90.00°, 90.00° and 90.00°. The asymmetric unit holds Y at (0.000, 0.000, 0.000), Cu at (0.000, 0.000, 0.500), Tc at (0.250, 0.250, 0.750) and Ge at (0.250, 0.250, 0.250).

Its total moment is 0.06 μB/cell.



A relaxed KReNO crystal. Source: the Open Quantum Materials Database, functional PBE-GGA.

The structure belongs to space group Pca2_1 (No. 29); the cell edges are 6.775, 7.807 and 4.983 Å and the angles 90.00°, 90.00° and 90.00°. The asymmetric unit holds K at (0.053, 0.136, 0.000), Re at (0.044, 0.569, 0.992), N at (0.188, 0.543, 0.651) and O at (0.040, 0.200, 0.500).

Its total moment is 0.01 μB/cell.



A relaxed CdAg8 crystal. Source: the Open Quantum Materials Database, functional PBE-GGA.

The structure belongs to space group C2/m (No. 12); the cell edges are 9.256, 4.102 and 27.899 Å and the angles 90.00°, 90.20° and 90.00°. The asymmetric unit holds Cd at (0.054, 0.000, 0.214), Ag at (0.049, 0.500, 0.382), Ag at (0.050, 0.500, 0.721), Ag at (0.051, 0.000, 0.551), Ag at (0.149, 0.000, 0.652), Ag at (0.149, 0.500, 0.483), Ag at (0.153, 0.000, 0.316), Ag at (0.247, 0.000, 0.754) and Ag at (0.249, 0.000, 0.416).

The energy relative to the elements is 74 meV per atom.



A relaxed Ta2P2Os3 crystal. Source: the Open Quantum Materials Database, functional PBE-GGA.

The structure belongs to space group Cmmm (No. 65); the cell edges are 2.913, 24.584 and 2.894 Å and the angles 90.00°, 90.00° and 90.00°. The asymmetric unit holds Ta at (0.000, 0.200, 0.000), P at (0.000, 0.064, 0.000), Os at (0.000, 0.383, 0.500) and Os at (0.000, 0.500, 0.500).

Its total moment is 0.00 μB/cell.



| no. | ρ (g/cm³) | raw total energy (Ha/atom) |
| --- | --- | --- |
| 1 | 11.534 | -0.1806 |
| 2 | 7.490 | -0.2033 |
| 3 | 7.625 | -0.2186 |
| 4 | 6.433 | -0.2703 |
| 5 | 6.116 | -0.0932 |
| 6 | 15.937 | -0.3590 |